VASP calculation (GGA-PBE) on an optimized crystal structure of Co2HOs2.

```
5
Lattice="-1.539 1.539 6.389 1.539 -1.539 6.389 1.539 1.539 -6.389" Properties=species:S:1:pos:R:3 pbc="T T T"
Co 1.539 0.000 3.195
Co 0.000 1.539 3.195
H 0.000 0.000 0.000
Os 0.000 0.000 5.176
Os 0.000 0.000 7.603
```

Results
Magnetization in Bohr magnetons per cell: 1.84
ρ in kg/m3: 13691
Space group: I4/mmm (139)

VASP calculation (GGA-PBE) on an optimized crystal structure of Co3HOs.

```
5
Lattice="4.493 0.000 0.000 0.000 4.493 0.000 0.000 0.000 4.493" Properties=species:S:1:pos:R:3 pbc="T T T"
Co 0.000 0.000 2.247
Co 0.000 2.247 0.000
Co 2.247 0.000 0.000
H 2.247 2.247 2.247
Os 0.000 0.000 0.000
```

Results
Magnetization in Bohr magnetons per cell: 3.66
ρ in kg/m3: 6738
Space group: Pm-3m (221)

What are the VASP energy values for these records? In order: -34.7; -25.7 eV/f.u..
What are the relative energy among the computed polymorphs values for these records? In order: 120.5; 1877.5 meV/atom.